1.
# NaAcI2O PBE-GGA relaxed
# Crystal system: tetragonal
# Fermi-level density of states in states/eV/f.u.: 0.0
# E in eV/atom: -4.847
data_NaAcI2O
_cell_length_a 4.379
_cell_length_b 4.379
_cell_length_c 16.614
_cell_angle_alpha 90.00
_cell_angle_beta 90.00
_cell_angle_gamma 90.00
_symmetry_space_group_name_H-M 'P 4/n m m'
_symmetry_Int_Tables_number 129
loop_
_symmetry_equiv_pos_as_xyz
'x,y,z'
'-x,-y,-z'
'-y+1/2,x,z'
'y+1/2,-x,-z'
'-x+1/2,-y+1/2,z'
'x+1/2,y+1/2,-z'
'y,-x+1/2,z'
'-y,x+1/2,-z'
'x+1/2,-y,-z'
'-x+1/2,y,z'
'-y,-x,-z'
'y,x,z'
'-x,y+1/2,-z'
'x,-y+1/2,z'
'y+1/2,x+1/2,-z'
'-y+1/2,-x+1/2,z'
loop_
_atom_site_label
_atom_site_type_symbol
_atom_site_fract_x
_atom_site_fract_y
_atom_site_fract_z
_atom_site_occupancy
Na1 Na 0.250 0.250 0.088 1
Ac1 Ac 0.250 0.250 0.573 1
I1 I 0.250 0.250 0.314 1
I2 I 0.250 0.250 0.893 1
O1 O 0.250 0.750 0.500 1


2.
# Na3Ac3IO8 PBE-GGA relaxed
# Crystal system: monoclinic
# Fermi-level density of states in states/eV/f.u.: 0.8
# E in eV/atom: -5.833
data_Na3Ac3IO8
_cell_length_a 11.710
_cell_length_b 7.726
_cell_length_c 7.155
_cell_angle_alpha 90.00
_cell_angle_beta 121.71
_cell_angle_gamma 90.00
_symmetry_space_group_name_H-M 'C 1 2/m 1'
_symmetry_Int_Tables_number 12
_symmetry_space_group_name_Hall '-C 2y'
loop_
_atom_site_label
_atom_site_type_symbol
_atom_site_fract_x
_atom_site_fract_y
_atom_site_fract_z
_atom_site_occupancy
Na1 Na 0.000 0.000 0.000 1
Na2 Na 0.250 0.250 0.500 1
Ac1 Ac 0.000 0.500 0.500 1
Ac2 Ac 0.250 0.250 0.000 1
I1 I 0.000 0.000 0.500 1
O1 O 0.003 0.242 0.717 1
O2 O 0.214 0.000 0.733 1
O3 O 0.247 0.500 0.776 1


3.
# NaAcIO2 PBE-GGA relaxed
# Crystal system: tetragonal
# Fermi-level density of states in states/eV/f.u.: 5.0
# E in eV/atom: -5.289
data_NaAcIO2
_cell_length_a 4.285
_cell_length_b 4.285
_cell_length_c 14.087
_cell_angle_alpha 90.00
_cell_angle_beta 90.00
_cell_angle_gamma 90.00
_symmetry_space_group_name_H-M 'I 4 m m'
_symmetry_Int_Tables_number 107
_symmetry_space_group_name_Hall 'I 4 -2'
loop_
_atom_site_label
_atom_site_type_symbol
_atom_site_fract_x
_atom_site_fract_y
_atom_site_fract_z
_atom_site_occupancy
Na1 Na 0.000 0.000 0.000 1
Ac1 Ac 0.000 0.000 0.346 1
I1 I 0.000 0.000 0.688 1
O1 O 0.000 0.500 0.422 1


4.
# NaAcIO6 PBE-GGA relaxed
# Crystal system: trigonal
# Fermi-level density of states in states/eV/f.u.: 8.5
# E in eV/atom: -5.482
data_NaAcIO6
_cell_length_a 5.6466
_cell_length_b 5.6466
_cell_length_c 5.1313
_cell_angle_alpha 90.00
_cell_angle_beta 90.00
_cell_angle_gamma 120.00
_symmetry_space_group_name_H-M 'P 3 1 2'
_symmetry_Int_Tables_number 149
_symmetry_space_group_name_Hall 'P 3 2'
loop_
_atom_site_label
_atom_site_type_symbol
_atom_site_fract_x
_atom_site_fract_y
_atom_site_fract_z
_atom_site_occupancy
Na1 Na 0.0000 0.0000 0.0000 1
Ac1 Ac 0.6667 0.3333 0.5000 1
I1 I 0.3333 0.6667 0.0000 1
O1 O 0.0560 0.3936 0.2115 1


5.
# NaAc2IO5 PBE-GGA relaxed
# Crystal system: tetragonal
# Fermi-level density of states in states/eV/f.u.: 0.0
# E in eV/atom: -6.080
data_NaAc2IO5
_cell_length_a 7.281
_cell_length_b 7.281
_cell_length_c 6.248
_cell_angle_alpha 90.00
_cell_angle_beta 90.00
_cell_angle_gamma 90.00
_symmetry_space_group_name_H-M 'P 4/m b m'
_symmetry_Int_Tables_number 127
_symmetry_space_group_name_Hall '-P 4 2ab'
loop_
_atom_site_label
_atom_site_type_symbol
_atom_site_fract_x
_atom_site_fract_y
_atom_site_fract_z
_atom_site_occupancy
Na1 Na 0.000 0.000 0.000 1
Ac1 Ac 0.182 0.318 0.500 1
I1 I 0.000 0.500 0.000 1
O1 O 0.000 0.000 0.500 1
O2 O 0.136 0.636 0.256 1


6.
# NaAcI2O8 PBE-GGA relaxed
# Crystal system: tetragonal
# Fermi-level density of states in states/eV/f.u.: 1.9
# E in eV/atom: -5.051
data_NaAcI2O8
_cell_length_a 7.851
_cell_length_b 7.851
_cell_length_c 7.102
_cell_angle_alpha 90.00
_cell_angle_beta 90.00
_cell_angle_gamma 90.00
_symmetry_space_group_name_H-M 'I -4 m 2'
_symmetry_Int_Tables_number 119
_symmetry_space_group_name_Hall 'I -4 -2'
loop_
_atom_site_label
_atom_site_type_symbol
_atom_site_fract_x
_atom_site_fract_y
_atom_site_fract_z
_atom_site_occupancy
Na1 Na 0.000 0.000 0.000 1
Ac1 Ac 0.000 0.500 0.250 1
I1 I 0.000 0.000 0.500 1
I2 I 0.000 0.500 0.750 1
O1 O 0.000 0.185 0.329 1
O2 O 0.000 0.320 0.925 1


7.
# NaAcIO PBE-GGA relaxed
# Crystal system: tetragonal
# Fermi-level density of states in states/eV/f.u.: 0.6
# E in eV/atom: -4.970
data_NaAcIO
_cell_length_a 4.363
_cell_length_b 4.363
_cell_length_c 14.094
_cell_angle_alpha 90.00
_cell_angle_beta 90.00
_cell_angle_gamma 90.00
_symmetry_space_group_name_H-M 'P 4/n m m'
_symmetry_Int_Tables_number 129
loop_
_symmetry_equiv_pos_as_xyz
'x,y,z'
'-x,-y,-z'
'-y+1/2,x,z'
'y+1/2,-x,-z'
'-x+1/2,-y+1/2,z'
'x+1/2,y+1/2,-z'
'y,-x+1/2,z'
'-y,x+1/2,-z'
'x+1/2,-y,-z'
'-x+1/2,y,z'
'-y,-x,-z'
'y,x,z'
'-x,y+1/2,-z'
'x,-y+1/2,z'
'y+1/2,x+1/2,-z'
'-y+1/2,-x+1/2,z'
loop_
_atom_site_label
_atom_site_type_symbol
_atom_site_fract_x
_atom_site_fract_y
_atom_site_fract_z
_atom_site_occupancy
Na1 Na 0.250 0.750 0.000 1
Ac1 Ac 0.250 0.250 0.413 1
I1 I 0.250 0.250 0.722 1
O1 O 0.250 0.750 0.500 1


8.
# Na2AcIO2 PBE-GGA relaxed
# Crystal system: monoclinic
# Fermi-level density of states in states/eV/f.u.: 0.0
# E in eV/atom: -5.073
data_Na2AcIO2
_cell_length_a 6.332
_cell_length_b 6.191
_cell_length_c 7.794
_cell_angle_alpha 90.00
_cell_angle_beta 93.87
_cell_angle_gamma 90.00
_symmetry_space_group_name_H-M 'P 1 21/m 1'
_symmetry_Int_Tables_number 11
_symmetry_space_group_name_Hall '-P 2yb'
loop_
_atom_site_label
_atom_site_type_symbol
_atom_site_fract_x
_atom_site_fract_y
_atom_site_fract_z
_atom_site_occupancy
Na1 Na 0.042 0.250 0.022 1
Na2 Na 0.242 0.750 0.704 1
Ac1 Ac 0.473 0.750 0.135 1
I1 I 0.268 0.250 0.420 1
O1 O 0.275 0.511 0.936 1


9.
# RbNaAc2I8 PBE-GGA relaxed
# Crystal system: monoclinic
# Fermi-level density of states in states/eV/f.u.: 0.0
# E in eV/atom: -3.367
data_RbNaAc2I8
_cell_length_a 7.852
_cell_length_b 10.081
_cell_length_c 8.089
_cell_angle_alpha 90.00
_cell_angle_beta 95.09
_cell_angle_gamma 90.00
_symmetry_space_group_name_H-M 'P 1 2/m 1'
_symmetry_Int_Tables_number 10
_symmetry_space_group_name_Hall '-P 2y'
loop_
_atom_site_label
_atom_site_type_symbol
_atom_site_fract_x
_atom_site_fract_y
_atom_site_fract_z
_atom_site_occupancy
Rb1 Rb 0.000 0.000 0.000 1
Na1 Na 0.000 0.500 0.000 1
Ac1 Ac 0.500 0.256 0.500 1
I1 I 0.253 0.275 0.162 1
I2 I 0.271 0.500 0.645 1
I3 I 0.279 0.000 0.633 1


10.
# Rb2NaAcI6 PBE-GGA relaxed
# Crystal system: monoclinic
# Fermi-level density of states in states/eV/f.u.: 0.0
# E in eV/atom: -3.147
data_Rb2NaAcI6
_cell_length_a 8.640
_cell_length_b 9.130
_cell_length_c 14.827
_cell_angle_alpha 90.00
_cell_angle_beta 123.92
_cell_angle_gamma 90.00
_symmetry_space_group_name_H-M 'P 1 21/c 1'
_symmetry_Int_Tables_number 14
_symmetry_space_group_name_Hall '-P 2ybc'
loop_
_atom_site_label
_atom_site_type_symbol
_atom_site_fract_x
_atom_site_fract_y
_atom_site_fract_z
_atom_site_occupancy
Rb1 Rb 0.213 0.082 0.244 1
Na1 Na 0.000 0.000 0.500 1
Ac1 Ac 0.500 0.000 0.000 1
I1 I 0.140 0.196 0.945 1
I2 I 0.252 0.701 0.943 1
I3 I 0.362 0.031 0.746 1


11.
# NaAcSbI PBE-GGA relaxed
# Crystal system: cubic
# E in eV/atom: -3.719
data_NaAcSbI
_cell_length_a 8.091
_cell_length_b 8.091
_cell_length_c 8.091
_cell_angle_alpha 90.00
_cell_angle_beta 90.00
_cell_angle_gamma 90.00
_symmetry_space_group_name_H-M 'F -4 3 m'
_symmetry_Int_Tables_number 216
_symmetry_space_group_name_Hall 'F -4 2 3'
loop_
_atom_site_label
_atom_site_type_symbol
_atom_site_fract_x
_atom_site_fract_y
_atom_site_fract_z
_atom_site_occupancy
Na1 Na 0.000 0.000 0.000 1
Ac1 Ac 0.000 0.000 0.500 1
Sb1 Sb 0.250 0.250 0.750 1
I1 I 0.250 0.250 0.250 1


12.
# NaAcSeI PBE-GGA relaxed
# Crystal system: cubic
# Fermi-level density of states in states/eV/f.u.: 3.0
# E in eV/atom: -3.736
data_NaAcSeI
_cell_length_a 7.857
_cell_length_b 7.857
_cell_length_c 7.857
_cell_angle_alpha 90.00
_cell_angle_beta 90.00
_cell_angle_gamma 90.00
_symmetry_space_group_name_H-M 'F -4 3 m'
_symmetry_Int_Tables_number 216
_symmetry_space_group_name_Hall 'F -4 2 3'
loop_
_atom_site_label
_atom_site_type_symbol
_atom_site_fract_x
_atom_site_fract_y
_atom_site_fract_z
_atom_site_occupancy
Na1 Na 0.000 0.000 0.000 1
Ac1 Ac 0.000 0.000 0.500 1
Se1 Se 0.250 0.250 0.750 1
I1 I 0.250 0.250 0.250 1


The following ΔE_f (raw) values (in eV/f.u.) correspond, in order, to the records above: -10.75, -30.00, -9.55, -12.61, -18.85, -12.42, -7.94, -12.22, -17.51, -14.80, -3.78, -4.48.